No. 1
Density functional theory data (PBE) for a relaxed structure of YP2Ru2.

It has space group I4/mmm (No. 139), with a = 4.273 Å, b = 4.273 Å, c = 9.107 Å, α = 90.00°, β = 90.00° and γ = 90.00°. Symmetry generates all atoms from Y at (0.000, 0.000, 0.000), P at (0.000, 0.500, 0.250) and Ru at (0.000, 0.000, 0.361).

The formation energy is -69.3 kJ per mole of atoms. The offset from the most stable computed form comes out at 1.585 eV per formula unit. The density of states at the Fermi level is 3.0 states/eV/f.u. As for the uncorrected energy: -7.885 eV per atom. The volume comes out at 166 Å³ per cell.

No. 2
Density functional theory data (PBE) for a relaxed structure of YP2Ru3.

It has space group C2/m (No. 12), with a = 15.656 Å, b = 3.922 Å, c = 9.589 Å, α = 90.00°, β = 108.11° and γ = 90.00°. Symmetry generates all atoms from Y at (0.000, 0.000, 0.000), Y at (0.158, 0.000, 0.697), P at (0.039, 0.500, 0.780), P at (0.140, 0.500, 0.451), P at (0.197, 0.000, 0.134), Ru at (0.000, 0.500, 0.500), Ru at (0.040, 0.000, 0.329), Ru at (0.123, 0.500, 0.201), Ru at (0.180, 0.500, 0.962) and Ru at (0.217, 0.000, 0.392).

The formation energy is -76.4 kJ per mole of atoms. The offset from the most stable computed form comes out at 0.000 eV per formula unit. The density of states at the Fermi level is 4.6 states/eV/f.u. As for the uncorrected energy: -8.310 eV per atom. The volume comes out at 560 Å³ per cell.

No. 3
Density functional theory data (PBE) for a relaxed structure of Y2PRu.

It has space group F-43m (No. 216), with a = 6.720 Å, b = 6.720 Å, c = 6.720 Å, α = 90.00°, β = 90.00° and γ = 90.00°. Symmetry generates all atoms from Y at (0.000, 0.000, 0.000), Y at (0.250, 0.250, 0.250), P at (0.250, 0.250, 0.750) and Ru at (0.000, 0.000, 0.500).

The formation energy is -18.0 kJ per mole of atoms. The offset from the most stable computed form comes out at 2.877 eV per formula unit. The density of states at the Fermi level is 3.0 states/eV/f.u. As for the uncorrected energy: -7.090 eV per atom. The volume comes out at 303 Å³ per cell.

No. 4
Density functional theory data (PBE) for a relaxed structure of YPRu2.

It has space group F-43m (No. 216), with a = 6.463 Å, b = 6.463 Å, c = 6.463 Å, α = 90.00°, β = 90.00° and γ = 90.00°. Symmetry generates all atoms from Y at (0.000, 0.000, 0.000), P at (0.250, 0.250, 0.750), Ru at (0.000, 0.000, 0.500) and Ru at (0.250, 0.250, 0.250).

The formation energy is 9.0 kJ per mole of atoms. The density of states at the Fermi level is 5.5 states/eV/f.u. As for the uncorrected energy: -7.513 eV per atom. The volume comes out at 270 Å³ per cell.